Record 1
Material: LaCeGe2
Method: DFT, PBE-GGA
State: relaxed

Cell and atoms, written as POSCAR:
```
LaCeGe2
1.0
3.437 0.000 0.000
0.000 3.437 0.000
0.000 0.000 8.300
La Ce Ge
1 1 2
direct
0.000 0.000 0.000 La
0.000 0.000 0.500 Ce
0.500 0.500 0.257 Ge
0.500 0.500 0.743 Ge
```

Summary:
Energy of formation: -0.6571 eV/atom

---

Record 2
Material: LaCeGe
Method: DFT, PBE-GGA
State: relaxed

Cell and atoms, written as POSCAR:
```
LaCeGe
1.0
4.710 0.000 0.000
-2.355 4.079 0.000
0.000 0.000 4.140
La Ce Ge
1 1 1
direct
0.000 0.000 0.000 La
0.333 0.667 0.623 Ce
0.667 0.333 0.337 Ge
```

Summary:
Energy of formation: -0.3814 eV/atom

---

Record 3
Material: Li2LaCe2Ge2
Method: DFT, PBE-GGA
State: relaxed

Cell and atoms, written as POSCAR:
```
Li2LaCe2Ge2
1.0
2.223 1.284 9.109
-2.223 1.284 9.109
0.000 -2.567 9.109
Li La Ce Ge
2 1 2 2
direct
0.088 0.088 0.088 Li
0.912 0.912 0.912 Li
0.500 0.500 0.500 La
0.357 0.357 0.357 Ce
0.643 0.643 0.643 Ce
0.240 0.240 0.240 Ge
0.760 0.760 0.760 Ge
```

Summary:
Energy of formation: -0.4884 eV/atom

---

Record 4
Material: La2CeGeN4
Method: DFT, PBE-GGA
State: relaxed

Cell and atoms, written as POSCAR:
```
La2CeGeN4
1.0
1.835 -5.871 0.000
1.835 5.871 0.000
0.000 0.000 12.380
La Ce Ge N
4 2 2 8
direct
0.131 0.869 0.546 La
0.131 0.869 0.954 La
0.869 0.131 0.046 La
0.869 0.131 0.454 La
0.401 0.599 0.750 Ce
0.599 0.401 0.250 Ce
0.331 0.669 0.250 Ge
0.669 0.331 0.750 Ge
0.081 0.919 0.750 N
0.222 0.778 0.136 N
0.222 0.778 0.364 N
0.500 0.500 0.000 N
0.500 0.500 0.500 N
0.778 0.222 0.636 N
0.778 0.222 0.864 N
0.919 0.081 0.250 N
```

Summary:
Formation energy (no corrections): -0.879 eV/atom

---

Record 5
Material: LaCeGeN
Method: DFT, PBE-GGA
State: relaxed

Cell and atoms, written as POSCAR:
```
LaCeGeN
1.0
4.653 0.000 0.000
0.000 4.653 0.000
0.000 0.000 8.821
La Ce Ge N
2 2 2 2
direct
0.250 0.750 0.000 La
0.750 0.250 0.000 La
0.250 0.250 0.347 Ce
0.750 0.750 0.653 Ce
0.250 0.250 0.695 Ge
0.750 0.750 0.305 Ge
0.250 0.250 0.109 N
0.750 0.750 0.891 N
```

Summary:
Formation energy (no corrections): -1.001 eV/atom

---

Record 6
Material: LaCe2GeN4
Method: DFT, PBE-GGA
State: relaxed

Cell and atoms, written as POSCAR:
```
LaCe2GeN4
1.0
1.816 -5.859 0.000
1.816 5.859 0.000
0.000 0.000 11.930
La Ce Ge N
2 4 2 8
direct
0.098 0.902 0.750 La
0.902 0.098 0.250 La
0.369 0.631 0.545 Ce
0.369 0.631 0.955 Ce
0.631 0.369 0.045 Ce
0.631 0.369 0.455 Ce
0.167 0.833 0.250 Ge
0.833 0.167 0.750 Ge
0.000 0.000 0.000 N
0.000 0.000 0.500 N
0.276 0.724 0.131 N
0.276 0.724 0.369 N
0.417 0.583 0.750 N
0.583 0.417 0.250 N
0.724 0.276 0.631 N
0.724 0.276 0.869 N
```

Summary:
Formation energy (no corrections): -0.975 eV/atom

---

Record 7
Material: La2Ce4Ge3N2
Method: DFT, PBE-GGA
State: relaxed

Cell and atoms, written as POSCAR:
```
La2Ce4Ge3N2
1.0
-2.340 2.340 12.435
2.340 -2.340 12.435
2.340 2.340 -12.435
La Ce Ge N
2 4 3 2
direct
0.199 0.199 0.000 La
0.801 0.801 0.000 La
0.081 0.581 0.500 Ce
0.419 0.919 0.500 Ce
0.581 0.081 0.500 Ce
0.919 0.419 0.500 Ce
0.329 0.329 0.000 Ge
0.500 0.500 0.000 Ge
0.671 0.671 0.000 Ge
0.101 0.101 0.000 N
0.899 0.899 0.000 N
```

Summary:
Formation energy (no corrections): -0.972 eV/atom

---

Record 8
Material: La3CeGe2N
Method: DFT, PBE-GGA
State: relaxed

Cell and atoms, written as POSCAR:
```
La3CeGe2N
1.0
-2.363 2.447 8.068
2.363 -2.447 8.068
2.363 2.447 -8.068
La Ce Ge N
3 1 2 1
direct
0.000 0.000 0.000 La
0.327 0.827 0.500 La
0.673 0.173 0.500 La
0.500 0.500 0.000 Ce
0.135 0.635 0.500 Ge
0.865 0.365 0.500 Ge
0.500 0.000 0.500 N
```

Summary:
Formation energy (no corrections): -0.902 eV/atom

---

Repeat the third record exactly.
Material: Li2LaCe2Ge2
Method: DFT, PBE-GGA
State: relaxed

Cell and atoms, written as POSCAR:
```
Li2LaCe2Ge2
1.0
2.223 1.284 9.109
-2.223 1.284 9.109
0.000 -2.567 9.109
Li La Ce Ge
2 1 2 2
direct
0.088 0.088 0.088 Li
0.912 0.912 0.912 Li
0.500 0.500 0.500 La
0.357 0.357 0.357 Ce
0.643 0.643 0.643 Ce
0.240 0.240 0.240 Ge
0.760 0.760 0.760 Ge
```

Summary:
Energy of formation: -0.4884 eV/atom